1.
Below is a relaxed structure of HfNpVO6, with properties calculated at the PBE+U level.

Lattice parameters (Å, degrees): 5.469 5.469 8.823 90.00 90.00 120.00
Last column: magnetic moment on the atom in μB.
Fractional positions:
O 0.006 0.673 0.371  -0.06
O 0.666 0.994 0.371  -0.06
O 0.334 0.006 0.629  -0.06
O 0.327 0.334 0.371  -0.06
O 0.994 0.327 0.629  -0.06
O 0.666 0.673 0.129  -0.06
O 0.327 0.994 0.129  -0.06
O 0.994 0.666 0.871  -0.06
O 0.334 0.327 0.871  -0.06
O 0.673 0.006 0.871  -0.06
O 0.006 0.334 0.129  -0.06
O 0.673 0.666 0.629  -0.06
Np 0.667 0.333 0.250  2.19
Np 0.333 0.667 0.750  2.19
Hf 0.667 0.333 0.750  0.03
Hf 0.333 0.667 0.250  0.03
V 0.000 0.000 0.000  2.01
V 0.000 0.000 0.500  2.01

## Properties
Uncorrected energy = -9.38 eV/atom
Symmetry = No. 163


2.
Below is a relaxed structure of HfNpV2O6, with properties calculated at the PBE+U level.

Lattice parameters (Å, degrees): 5.467 5.467 5.859 62.18 62.17 59.99
Last column: magnetic moment on the atom in μB.
Fractional positions:
V 0.015 0.015 0.954  2.57
V 0.517 0.516 0.451  2.58
Hf 0.315 0.315 0.056  0.04
O 0.135 0.397 0.756  -0.04
O 0.928 0.603 0.239  -0.02
O 0.603 0.229 0.240  -0.02
O 0.397 0.712 0.756  -0.04
O 0.229 0.928 0.239  -0.02
O 0.712 0.135 0.756  -0.04
Np 0.811 0.811 0.567  3.40

## Properties
Uncorrected energy = -9.36 eV/atom
Symmetry = No. 146